1.
Below is NbInS3 after structural relaxation, with properties calculated at the PBE-GGA level.

Cell: 4.8672 4.8672 4.8672 Å, 90.00 90.00 90.00°
Closest atoms and distances in Å follow each position.
Space group Pm-3m (No. 221)
Unique sites:
Nb (0.0000, 0.0000, 0.0000) [1 per cell]  6 S 2.43
In (0.5000, 0.5000, 0.5000) [1 per cell]  12 S 3.44
S (0.0000, 0.0000, 0.5000) [3 per cell]  2 Nb 2.43

Values from the calculation:
The electronic total energy comes out at -5.5508 eV/atom. The calculation puts the density of states at the Fermi level at 1.34 states/eV/f.u. The formation energy without anion corrections is -0.513 eV/atom.

***

2.
Below is Sm5Lu3H12 after structural relaxation, with properties calculated at the PBE-GGA level.

Cell: 13.1613 13.1613 13.1613 Å, 90.00 90.00 90.00°
Closest atoms and distances in Å follow each position.
Space group Ia-3d (No. 230)
Unique sites:
Sm (0.0000, 0.0000, 0.0000) [16 per cell]  6 H 2.28
Sm (0.0000, 0.2500, 0.3750) [24 per cell]  4 H 2.26
Lu (0.0000, 0.2500, 0.1250) [24 per cell]  8 H 2.19-2.43
H (0.0034, 0.0684, 0.1589) [96 per cell]  2 Lu 2.19-2.43, 1 H 2.21, 2 Sm 2.26-2.28

Values from the calculation:
The electronic total energy comes out at -4.2986 eV/atom. The calculation puts the density of states at the Fermi level at 10.74 states/eV/f.u.

***

3.
Below is Au3IF after structural relaxation, with properties calculated at the PBE-GGA level.

Cell: 4.7724 4.7724 4.7724 Å, 90.00 90.00 90.00°
Closest atoms and distances in Å follow each position.
Space group Pm-3m (No. 221)
Unique sites:
Au (0.0000, 0.0000, 0.5000) [3 per cell]  2 F 2.39
I (0.5000, 0.5000, 0.5000) [1 per cell]  12 Au 3.37
F (0.0000, 0.0000, 0.0000) [1 per cell]  6 Au 2.39

Values from the calculation:
The electronic total energy comes out at -2.3365 eV/atom. The calculation puts the density of states at the Fermi level at 2.17 states/eV/f.u. The formation energy without anion corrections is 0.314 eV/atom.

***

4.
Below is CePr2Cd6 after structural relaxation, with properties calculated at the PBE-GGA level.

Cell: 8.8569 8.8569 3.4156 Å, 90.00 90.00 120.00°
Closest atoms and distances in Å follow each position.
Space group P6/mmm (No. 191)
Unique sites:
Ce (0.0000, 0.0000, 0.0000) [1 per cell]  12 Cd 3.40, 2 Ce 3.42
Pr (0.3333, 0.6667, 0.0000) [2 per cell]  12 Cd 3.41, 2 Pr 3.42
Cd (0.0000, 0.3326, 0.5000) [6 per cell]  3 Cd 2.95-2.97

Values from the calculation:
The electronic total energy comes out at -2.6471 eV/atom. The calculation puts the density of states at the Fermi level at 11.72 states/eV/f.u.

***

5.
Below is Tl3AuS8 after structural relaxation, with properties calculated at the PBE-GGA level.

Cell: 10.3365 10.8938 8.0331 Å, 90.00 129.20 90.00°
Closest atoms and distances in Å follow each position.
Space group Cm (No. 8)
Unique sites:
Tl (0.0000, 0.0000, 0.0000) [2 per cell]  6 S 3.14-3.45
Tl (0.4430, 0.2500, 0.5022) [4 per cell]  6 S 3.08-3.34
Au (0.3620, 0.0000, 0.0021) [2 per cell]  4 S 2.42-2.43
S (0.0633, 0.5000, 0.3910) [2 per cell]  1 S 2.00
S (0.1484, 0.2513, 0.0004) [4 per cell]  1 S 2.02
S (0.1720, 0.0000, 0.6123) [2 per cell]  1 S 2.00
S (0.2896, 0.5000, 0.4692) [2 per cell]  1 S 2.00
S (0.3145, 0.0000, 0.5232) [2 per cell]  1 S 2.00
S (0.3425, 0.2217, 0.0027) [4 per cell]  1 S 2.02

Values from the calculation:
The electronic total energy comes out at -3.6688 eV/atom. The calculation puts the density of states at the Fermi level at 5.10 states/eV/f.u. The formation energy without anion corrections is -0.052 eV/atom.

***

6.
Below is BaTaCu after structural relaxation, with properties calculated at the PBE-GGA level.

Cell: 4.3022 5.3848 7.4113 Å, 107.16 106.79 90.04°
Closest atoms and distances in Å follow each position.
Space group P-1 (No. 2)
Unique sites:
Ba (0.1990, 0.2072, 0.3972) [2 per cell]  2 Cu 3.04-3.13
Ta (0.4945, 0.2562, 0.9858) [2 per cell]  2 Ta 2.57-2.83, 2 Cu 2.64
Cu (0.0849, 0.6067, 0.1735) [2 per cell]  1 Cu 2.37, 2 Ta 2.64

Values from the calculation:
The electronic total energy comes out at -5.3969 eV/atom. The calculation puts the density of states at the Fermi level at 3.03 states/eV/f.u.

***

7.
Below is HgPb2W after structural relaxation, with properties calculated at the PBE-GGA level.

Cell: 3.0869 3.0869 11.0626 Å, 90.00 90.00 90.00°
Closest atoms and distances in Å follow each position.
Space group P4/mmm (No. 123)
Unique sites:
Hg (0.0000, 0.0000, 0.0000) [1 per cell]  4 Hg 3.09
Pb (0.5000, 0.5000, 0.2976) [2 per cell]  4 Pb 3.09, 4 W 3.13
W (0.0000, 0.0000, 0.5000) [1 per cell]  4 W 3.09, 8 Pb 3.13

Values from the calculation:
The electronic total energy comes out at -4.5543 eV/atom. The calculation puts the density of states at the Fermi level at 2.21 states/eV/f.u.

***

8.
Below is Ce6In3Tc after structural relaxation, with properties calculated at the PBE-GGA level.

Cell: 10.3406 6.7466 8.1462 Å, 90.00 102.86 90.00°
Closest atoms and distances in Å follow each position.
Space group C2/m (No. 12)
Unique sites:
Ce (0.1272, 0.2121, 0.3720) [8 per cell]  1 Tc 2.68, 2 Ce 2.86-2.95
Ce (0.1447, 0.5000, 0.8724) [4 per cell]  1 Tc 3.07, 1 In 3.26
In (0.0000, 0.0000, 0.0000) [2 per cell]  2 In 2.96
In (0.1669, 0.0000, 0.7488) [4 per cell]  1 In 2.96, 5 Ce 3.19-3.31
Tc (0.0000, 0.5000, 0.5000) [2 per cell]  4 Ce 2.68

Values from the calculation:
The electronic total energy comes out at -5.5508 eV/atom. The calculation puts the density of states at the Fermi level at 28.97 states/eV/f.u.

***

Copy entry 7 word for word.
Below is HgPb2W after structural relaxation, with properties calculated at the PBE-GGA level.

Cell: 3.0869 3.0869 11.0626 Å, 90.00 90.00 90.00°
Closest atoms and distances in Å follow each position.
Space group P4/mmm (No. 123)
Unique sites:
Hg (0.0000, 0.0000, 0.0000) [1 per cell]  4 Hg 3.09
Pb (0.5000, 0.5000, 0.2976) [2 per cell]  4 Pb 3.09, 4 W 3.13
W (0.0000, 0.0000, 0.5000) [1 per cell]  4 W 3.09, 8 Pb 3.13

Values from the calculation:
The electronic total energy comes out at -4.5543 eV/atom. The calculation puts the density of states at the Fermi level at 2.21 states/eV/f.u.